one) Below is an optimized crystal structure of Mg2GaSb2, with properties calculated at the GGA-PBE level.

Cell: 8.6247 8.6247 3.3517 Å, 90.00 90.00 90.00°
With the nearest neighbours (Å) after each atom.
Sites, in units of the cell vectors:
1 Sb 0.3383 0.8383 0.0000  6 Mg 2.99-3.07, 2 Ga 3.23
2 Sb 0.1617 0.3383 0.0000  6 Mg 2.99-3.07, 2 Ga 3.23
3 Sb 0.6617 0.1617 0.0000  6 Mg 2.99-3.07, 2 Ga 3.23
4 Sb 0.8383 0.6617 0.0000  6 Mg 2.99-3.07, 2 Ga 3.23
5 Mg 0.1357 0.6357 0.5000  6 Sb 2.99-3.07, 1 Mg 3.31
6 Mg 0.6357 0.8643 0.5000  6 Sb 2.99-3.07, 1 Mg 3.31
7 Mg 0.3643 0.1357 0.5000  6 Sb 2.99-3.07, 1 Mg 3.31
8 Mg 0.8643 0.3643 0.5000  6 Sb 2.99-3.07, 1 Mg 3.31
9 Ga 0.0000 0.0000 0.0000  4 Sb 3.23, 2 Ga 3.35
10 Ga 0.5000 0.5000 0.0000  4 Sb 3.23, 2 Ga 3.35

## Properties
For the calculated density, the calculation gives 4.82 Mg/m³. The volume comes out at 249 Å³ per cell. For the density of states at the Fermi level, the calculation gives 1.8 states/eV/f.u.


two) Below is an optimized crystal structure of Mg2GaSb2, with properties calculated at the GGA-PBE level.

Cell: 4.6876 4.6876 7.2295 Å, 71.08 71.08 90.00°
With the nearest neighbours (Å) after each atom.
Sites, in units of the cell vectors:
1 Mg 0.2500 0.7500 0.5000  4 Sb 2.89
2 Mg 0.7500 0.2500 0.5000  4 Sb 2.89
3 Sb 0.3813 0.3813 0.2374  4 Mg 2.89, 1 Sb 3.05
4 Sb 0.6187 0.6187 0.7626  4 Mg 2.89, 1 Sb 3.05
5 Ga 0.0000 0.0000 0.0000  8 Sb 3.65, 8 Mg 3.98

## Properties
For the calculated density, the calculation gives 4.26 Mg/m³. The volume comes out at 141 Å³ per cell. For the density of states at the Fermi level, the calculation gives 2.2 states/eV/f.u.


Question: of the structures shown, which is the most stable? Reply: one).